Entry 1:
The following is a DFT calculation (PBE) of a relaxed Tb8P6S crystal.

Unit cell a=10.193 b=10.193 c=4.180 alpha=90.00 beta=90.00 gamma=120.00
Sites, in units of the cell vectors:
Tb1 0.033 0.341 0.239
Tb2 0.309 0.967 0.239
Tb3 0.333 0.667 0.754
Tb4 0.341 0.309 0.761
Tb5 0.659 0.691 0.239
Tb6 0.667 0.333 0.246
Tb7 0.691 0.033 0.761
Tb8 0.967 0.659 0.761
P1 0.135 0.658 0.258
P2 0.342 0.476 0.258
P3 0.476 0.135 0.742
P4 0.524 0.865 0.258
P5 0.658 0.524 0.742
P6 0.865 0.342 0.742
S1 0.000 0.000 0.000

- formation energy from raw total energies (eV/atom) = -1.245
- SG = P-3

Entry 2:
The following is a DFT calculation (PBE) of a relaxed Tb4P3S crystal.

Unit cell a=5.662 b=5.662 c=5.662 alpha=90.00 beta=90.00 gamma=90.00
Sites, in units of the cell vectors:
Tb1 0.000 0.000 0.000
Tb2 0.000 0.500 0.500
Tb3 0.500 0.000 0.500
Tb4 0.500 0.500 0.000
P1 0.000 0.000 0.500
P2 0.000 0.500 0.000
P3 0.500 0.000 0.000
S1 0.500 0.500 0.500

- formation energy from raw total energies (eV/atom) = -1.761
- excess energy over the best structure of this formula in the dataset (meV per atom) = 10
- SG = Pm-3m

Entry 3:
The following is a DFT calculation (PBE) of a relaxed Tb4P3S crystal.

Unit cell a=6.935 b=6.935 c=6.935 alpha=131.81 beta=131.81 gamma=70.53
Sites, in units of the cell vectors:
Tb1 0.000 0.500 0.500
Tb2 0.247 0.247 0.000
Tb3 0.500 0.000 0.500
Tb4 0.753 0.753 0.000
P1 0.000 0.000 0.000
P2 0.250 0.750 0.500
P3 0.750 0.250 0.500
S1 0.500 0.500 0.000

- formation energy from raw total energies (eV/atom) = -1.771
- excess energy over the best structure of this formula in the dataset (meV per atom) = 0
- SG = I4/mmm

Entry 4:
The following is a DFT calculation (PBE) of a relaxed Tb3PS crystal.

Unit cell a=6.510 b=6.510 c=3.589 alpha=90.00 beta=90.00 gamma=120.00
Sites, in units of the cell vectors:
Tb1 0.004 0.336 0.000
Tb2 0.332 0.996 0.000
Tb3 0.664 0.668 0.000
P1 0.333 0.667 0.500
S1 0.000 0.000 0.500

- formation energy from raw total energies (eV/atom) = -1.120
- SG = P-6

Entry 5:
The following is a DFT calculation (PBE) of a relaxed TbP2S6 crystal.

Unit cell a=8.204 b=8.204 c=8.204 alpha=45.97 beta=45.97 gamma=45.97
Sites, in units of the cell vectors:
Tb1 0.000 0.000 0.000
P1 0.281 0.281 0.281
P2 0.385 0.385 0.385
S1 0.119 0.394 0.724
S2 0.235 0.962 0.566
S3 0.394 0.724 0.119
S4 0.566 0.235 0.962
S5 0.724 0.119 0.394
S6 0.962 0.566 0.235

- formation energy from raw total energies (eV/atom) = -0.616
- SG = R3

Entry 6:
The following is a DFT calculation (PBE) of a relaxed Tb4PS2 crystal.

Unit cell a=3.910 b=6.666 c=7.593 alpha=115.58 beta=104.84 gamma=90.00
Sites, in units of the cell vectors:
Tb1 0.124 0.455 0.247
Tb2 0.376 0.035 0.751
Tb3 0.624 0.965 0.249
Tb4 0.876 0.545 0.753
P1 0.000 0.000 0.000
S1 0.257 0.261 0.515
S2 0.743 0.739 0.485

- formation energy from raw total energies (eV/atom) = -1.555
- SG = P-1

Q: Which of these has the lowest formation energy from raw total energies?
A: number 3